Entry from Alexandria: crystalline CoS5 at its relaxed geometry (GGA-PBE).

Cell: 6.471 6.813 8.698 Å, 68.05 77.75 76.89°
Element x y z (fractional)
Co (0.133, 0.171, 0.275)
Co (0.867, 0.829, 0.725)
S (0.046, 0.867, 0.335)
S (0.051, 0.564, 0.879)
S (0.224, 0.153, 0.503)
S (0.446, 0.135, 0.139)
S (0.494, 0.729, 0.099)
S (0.506, 0.271, 0.901)
S (0.554, 0.865, 0.861)
S (0.776, 0.847, 0.497)
S (0.949, 0.436, 0.121)
S (0.954, 0.133, 0.665)

---

Entry from Alexandria: crystalline CoS at its relaxed geometry (GGA-PBE).

Cell: 9.417 9.417 3.511 Å, 90.00 90.00 90.00°
Element x y z (fractional)
Co (0.066, 0.619, 0.000)
Co (0.108, 0.289, 0.500)
Co (0.289, 0.892, 0.500)
Co (0.381, 0.066, 0.000)
Co (0.619, 0.934, 0.000)
Co (0.711, 0.108, 0.500)
Co (0.892, 0.711, 0.500)
Co (0.934, 0.381, 0.000)
S (0.123, 0.739, 0.500)
S (0.161, 0.412, 0.000)
S (0.261, 0.123, 0.500)
S (0.412, 0.839, 0.000)
S (0.588, 0.161, 0.000)
S (0.739, 0.877, 0.500)
S (0.839, 0.588, 0.000)
S (0.877, 0.261, 0.500)

---

Entry from Alexandria: crystalline CoS at its relaxed geometry (GGA-PBE).

Cell: 3.430 11.046 5.032 Å, 90.00 90.00 90.00°
Element x y z (fractional)
Co (0.250, 0.082, 0.051)
Co (0.250, 0.418, 0.051)
Co (0.250, 0.750, 0.478)
Co (0.750, 0.250, 0.522)
Co (0.750, 0.582, 0.949)
Co (0.750, 0.918, 0.949)
S (0.250, 0.250, 0.268)
S (0.250, 0.603, 0.203)
S (0.250, 0.897, 0.203)
S (0.750, 0.103, 0.797)
S (0.750, 0.397, 0.797)
S (0.750, 0.750, 0.732)

---

Entry from Alexandria: crystalline CoS at its relaxed geometry (GGA-PBE).

Cell: 2.620 2.620 4.225 Å, 90.00 90.00 96.64°
Element x y z (fractional)
Co (0.000, 0.000, 0.000)
S (0.000, 0.000, 0.500)

---

Entry from Alexandria: crystalline CoS at its relaxed geometry (GGA-PBE).

Cell: 6.106 6.472 6.962 Å, 90.00 90.00 90.00°
Element x y z (fractional)
Co (0.139, 0.088, 0.281)
Co (0.159, 0.622, 0.965)
Co (0.341, 0.378, 0.465)
Co (0.361, 0.912, 0.781)
Co (0.639, 0.412, 0.719)
Co (0.659, 0.878, 0.035)
Co (0.841, 0.122, 0.535)
Co (0.861, 0.588, 0.219)
S (0.163, 0.414, 0.204)
S (0.190, 0.103, 0.587)
S (0.310, 0.897, 0.087)
S (0.337, 0.586, 0.704)
S (0.663, 0.086, 0.796)
S (0.690, 0.397, 0.413)
S (0.810, 0.603, 0.913)
S (0.837, 0.914, 0.296)

---

Entry from Alexandria: crystalline Co3S4 at its relaxed geometry (GGA-PBE).

Cell: 6.568 6.568 6.568 Å, 60.00 60.00 60.00°
Element x y z (fractional)
Co (0.000, 0.000, 0.000)
Co (0.000, 0.000, 0.500)
Co (0.000, 0.500, 0.000)
Co (0.375, 0.375, 0.375)
Co (0.500, 0.000, 0.000)
Co (0.625, 0.625, 0.625)
S (0.228, 0.757, 0.757)
S (0.243, 0.243, 0.243)
S (0.243, 0.243, 0.772)
S (0.243, 0.772, 0.243)
S (0.757, 0.228, 0.757)
S (0.757, 0.757, 0.228)
S (0.757, 0.757, 0.757)
S (0.772, 0.243, 0.243)

---

Entry from Alexandria: crystalline CoS at its relaxed geometry (GGA-PBE).

Cell: 6.568 6.568 6.568 Å, 93.93 93.93 149.65°
Element x y z (fractional)
Co (0.152, 0.716, 0.868)
Co (0.284, 0.152, 0.437)
Co (0.716, 0.848, 0.563)
Co (0.848, 0.284, 0.132)
S (0.084, 0.288, 0.372)
S (0.288, 0.916, 0.204)
S (0.712, 0.084, 0.796)
S (0.916, 0.712, 0.628)

---

Entry from Alexandria: crystalline CoS at its relaxed geometry (GGA-PBE).

Cell: 6.261 6.261 3.188 Å, 90.00 90.00 90.00°
Element x y z (fractional)
Co (0.141, 0.141, 0.000)
Co (0.359, 0.641, 0.500)
Co (0.641, 0.359, 0.500)
Co (0.859, 0.859, 0.000)
S (0.199, 0.801, 0.000)
S (0.301, 0.301, 0.500)
S (0.699, 0.699, 0.500)
S (0.801, 0.199, 0.000)

---

In order of appearance, formation energy (no corrections) = 0.0056 -0.4025 -0.3375 0.4671 -0.2943 -0.4338 -0.3786 -0.3884 eV per atom.
In order of appearance, total magnetic moment = 0.000 0.000 0.000 0.548 0.000 0.000 0.000 0.000 μB/atom.
In order of appearance, uncorrected energy = -4.618 -6.019 -5.954 -5.150 -5.911 -5.838 -5.995 -6.005 eV per atom.